## Y2CI (PBE-GGA)

Data for Y2CI after structural relaxation.

Output
E_form (uncorrected)   -0.3551 eV per atom
DOS(E_F)   0.457 states/eV/atom

a b c (Å): 3.9603 6.1428 9.6246
angles (deg): 89.97 89.99 90.00
Site moments in Bohr magnetons follow the coordinates.
Element x y z (fractional)
Y 0.7010 0.6759 0.1714  0.02
Y 0.2008 0.9855 0.4185  0.20
C 0.2010 0.8796 0.2020  -0.01
I 0.2010 0.8923 0.7586  0.01
Y 0.7011 0.4858 0.7974  0.20
I 0.7008 0.3919 0.4575  0.01
Y 0.2011 0.1760 0.0446  0.02
C 0.7011 0.3797 0.0140  -0.01

***

## ZnSi5 (PBE-GGA)

Data for ZnSi5 after structural relaxation.

Output
E above lowest polymorph   0.0 kJ/mol of atoms
E_form (uncorrected)   0.3390 eV per atom
DOS(E_F)   0.235 states/eV/atom

a b c (Å): 5.8694 5.8694 4.7879
angles (deg): 90.00 90.00 144.90
Element x y z (fractional)
Zn 0.0209 0.9791 0.0000
Si 0.7554 0.2446 0.5000
Si 0.4267 0.5733 0.5000
Si 0.0877 0.9123 0.5000
Si 0.3495 0.6505 0.0000
Si 0.6932 0.3068 0.0000

***

no.,DFT total energy (eV per atom)
1,-6.28
2,-4.39